<A>
VASP calculation (GGA-PBE) on a relaxed Ac3PrSe4 crystal.

a b c (Å): 7.6810 8.7644 7.6741
angles (deg): 90.00 109.26 90.00
Closest atoms and distances in Å follow each position.
Fractional positions:
Ac1 0.0000 0.1240 0.2500  6 Se 3.11-3.18
Ac2 0.0000 0.3734 0.7500  6 Se 3.13-3.18
Ac3 0.0000 0.6266 0.2500  6 Se 3.13-3.18
Ac4 0.0000 0.8760 0.7500  6 Se 3.11-3.18
Ac5 0.5000 0.3732 0.2500  6 Se 3.11-3.13
Ac6 0.5000 0.6268 0.7500  6 Se 3.11-3.13
Pr1 0.5000 0.1237 0.7500  6 Se 3.06-3.08
Pr2 0.5000 0.8763 0.2500  6 Se 3.06-3.08
Se1 0.2542 0.3713 0.5041  1 Pr 3.08, 5 Ac 3.13-3.18
Se2 0.2542 0.6287 0.0041  1 Pr 3.08, 5 Ac 3.13-3.18
Se3 0.2575 0.1208 0.0001  2 Pr 3.06-3.08, 4 Ac 3.11-3.18
Se4 0.2575 0.8792 0.5001  2 Pr 3.06-3.08, 4 Ac 3.11-3.18
Se5 0.7425 0.1208 0.4999  2 Pr 3.06-3.08, 4 Ac 3.11-3.18
Se6 0.7425 0.8792 0.9999  2 Pr 3.06-3.08, 4 Ac 3.11-3.18
Se7 0.7458 0.3713 0.9959  1 Pr 3.08, 5 Ac 3.13-3.18
Se8 0.7458 0.6287 0.4959  1 Pr 3.08, 5 Ac 3.13-3.18

- magnetization (μB/cell) = 0.00
- space group = P2/c
- calculated volume (Å³/atom) = 30.5

***

<B>
VASP calculation (GGA-PBE) on a relaxed Ac3PrSe4 crystal.

a b c (Å): 6.2551 6.2551 6.2551
angles (deg): 90.00 90.00 90.00
Closest atoms and distances in Å follow each position.
Fractional positions:
Ac1 0.0000 0.0000 0.5000  6 Se 3.13
Ac2 0.0000 0.5000 0.0000  6 Se 3.13
Ac3 0.5000 0.0000 0.0000  6 Se 3.13
Pr1 0.5000 0.5000 0.5000  6 Se 3.13
Se1 0.0000 0.0000 0.0000  6 Ac 3.13
Se2 0.0000 0.5000 0.5000  4 Ac 3.13, 2 Pr 3.13
Se3 0.5000 0.0000 0.5000  4 Ac 3.13, 2 Pr 3.13
Se4 0.5000 0.5000 0.0000  4 Ac 3.13, 2 Pr 3.13

- magnetization (μB/cell) = 0.00
- space group = Pm-3m
- calculated volume (Å³/atom) = 30.6

***

Which of them is the most stable? Correct choice: <A>.